[1]
# Sr2Sb3H2Pd5, relaxed, DFT PBE
# size of the total moment: 0.000 μB per atom
# final energy: -4.515 eV per atom
# ρ: 7.8 Mg/m³
# crystal system: tetragonal
data_Sr2Sb3H2Pd5
_cell_length_a 4.4488
_cell_length_b 4.4488
_cell_length_c 11.9531
_cell_angle_alpha 100.72
_cell_angle_beta 100.72
_cell_angle_gamma 90.00
_symmetry_space_group_name_H-M 'P 1'
_symmetry_Int_Tables_number 1
_symmetry_space_group_name_Hall 'P 1'
loop_
_atom_site_label
_atom_site_type_symbol
_atom_site_fract_x
_atom_site_fract_y
_atom_site_fract_z
Sb1 Sb 0.0000 0.0000 0.0000
Sb2 Sb 0.8445 0.8445 0.6891
Sb3 Sb 0.1555 0.1555 0.3109
Pd1 Pd 0.0803 0.5803 0.1605
Pd2 Pd 0.5803 0.0803 0.1605
Pd3 Pd 0.9197 0.4197 0.8395
Pd4 Pd 0.4197 0.9197 0.8395
Pd5 Pd 0.5000 0.5000 0.0000
Sr1 Sr 0.6898 0.6898 0.3795
Sr2 Sr 0.3102 0.3102 0.6205
H1 H 0.5756 0.5756 0.1512
H2 H 0.4244 0.4244 0.8488

[2]
# Sr2SbHPd6, relaxed, DFT PBE
# size of the total moment: 0.000 μB per atom
# final energy: -4.762 eV per atom
# ρ: 8.2 Mg/m³
# crystal system: triclinic
data_Sr2SbHPd6
_cell_length_a 5.9475
_cell_length_b 7.0735
_cell_length_c 7.0854
_cell_angle_alpha 49.87
_cell_angle_beta 65.14
_cell_angle_gamma 89.86
_symmetry_space_group_name_H-M 'P 1'
_symmetry_Int_Tables_number 1
_symmetry_space_group_name_Hall 'P 1'
loop_
_atom_site_label
_atom_site_type_symbol
_atom_site_fract_x
_atom_site_fract_y
_atom_site_fract_z
Sr1 Sr 0.2731 0.7255 0.4527
Sr2 Sr 0.7269 0.2745 0.5473
Pd1 Pd 0.7232 0.2756 0.0466
Pd2 Pd 0.7731 0.7240 0.9521
Pd3 Pd 0.2760 0.2256 0.4504
Pd4 Pd 0.2269 0.2760 0.0479
Pd5 Pd 0.7240 0.7744 0.5496
Pd6 Pd 0.2768 0.7243 0.9534
Sb1 Sb 0.0000 0.0000 0.0000
H1 H 0.5000 0.5000 0.0000

[3]
# TcSbHPd2, relaxed, DFT PBE
# size of the total moment: 0.000 μB per atom
# final energy: -5.703 eV per atom
# ρ: 10.6 Mg/m³
# crystal system: tetragonal
data_TcSbHPd2
_cell_length_a 4.0281
_cell_length_b 4.0281
_cell_length_c 4.1798
_cell_angle_alpha 90.00
_cell_angle_beta 90.00
_cell_angle_gamma 90.00
_symmetry_space_group_name_H-M 'P 1'
_symmetry_Int_Tables_number 1
_symmetry_space_group_name_Hall 'P 1'
loop_
_atom_site_label
_atom_site_type_symbol
_atom_site_fract_x
_atom_site_fract_y
_atom_site_fract_z
Pd1 Pd 0.5000 0.0000 0.0000
Pd2 Pd 0.0000 0.5000 0.0000
H1 H 0.0000 0.0000 0.0000
Sb1 Sb 0.5000 0.5000 0.5000
Tc1 Tc 0.0000 0.0000 0.5000

[4]
# Sb2TeHPd, relaxed, DFT PBE
# size of the total moment: 0.000 μB per atom
# excess energy over the best structure of this formula in the dataset: 0.0 meV per atom
# final energy: -3.521 eV per atom
# ρ: 7.9 Mg/m³
# crystal system: tetragonal
data_Sb2TeHPd
_cell_length_a 4.6954
_cell_length_b 4.6954
_cell_length_c 4.5497
_cell_angle_alpha 90.00
_cell_angle_beta 90.00
_cell_angle_gamma 90.00
_symmetry_space_group_name_H-M 'P 1'
_symmetry_Int_Tables_number 1
_symmetry_space_group_name_Hall 'P 1'
loop_
_atom_site_label
_atom_site_type_symbol
_atom_site_fract_x
_atom_site_fract_y
_atom_site_fract_z
H1 H 0.0000 0.0000 0.0000
Te1 Te 0.0000 0.0000 0.5000
Sb1 Sb 0.5000 0.0000 0.0000
Sb2 Sb 0.0000 0.5000 0.0000
Pd1 Pd 0.5000 0.5000 0.5000

[5]
# Sb2TeHPd, relaxed, DFT PBE
# size of the total moment: 0.180 μB per atom
# excess energy over the best structure of this formula in the dataset: 300.6 meV per atom
# final energy: -3.220 eV per atom
# ρ: 5.3 Mg/m³
# crystal system: tetragonal
data_Sb2TeHPd
_cell_length_a 5.2028
_cell_length_b 5.2028
_cell_length_c 5.5141
_cell_angle_alpha 90.00
_cell_angle_beta 90.00
_cell_angle_gamma 90.00
_symmetry_space_group_name_H-M 'P 1'
_symmetry_Int_Tables_number 1
_symmetry_space_group_name_Hall 'P 1'
loop_
_atom_site_label
_atom_site_type_symbol
_atom_site_fract_x
_atom_site_fract_y
_atom_site_fract_z
H1 H 0.5000 0.5000 0.5000
Te1 Te 0.0000 0.0000 0.5000
Pd1 Pd 0.0000 0.0000 0.0000
Sb1 Sb 0.5000 0.0000 0.0000
Sb2 Sb 0.0000 0.5000 0.0000

[6]
# ThSbHPd, relaxed, DFT PBE
# size of the total moment: 0.000 μB per atom
# final energy: -5.834 eV per atom
# ρ: 10.1 Mg/m³
# crystal system: trigonal
data_ThSbHPd
_cell_length_a 4.4985
_cell_length_b 4.4984
_cell_length_c 4.3363
_cell_angle_alpha 90.00
_cell_angle_beta 90.00
_cell_angle_gamma 120.00
_symmetry_space_group_name_H-M 'P 1'
_symmetry_Int_Tables_number 1
_symmetry_space_group_name_Hall 'P 1'
loop_
_atom_site_label
_atom_site_type_symbol
_atom_site_fract_x
_atom_site_fract_y
_atom_site_fract_z
Th1 Th 0.9053 0.8105 0.8253
Pd1 Pd 0.2386 0.4772 0.2224
H1 H 0.2386 0.4772 0.8207
Sb1 Sb 0.5719 0.1438 0.3707

[7]
# Th2Sb3H2Pd5, relaxed, DFT PBE
# size of the total moment: 0.000 μB per atom
# final energy: -5.514 eV per atom
# ρ: 10.3 Mg/m³
# crystal system: tetragonal
data_Th2Sb3H2Pd5
_cell_length_a 4.3994
_cell_length_b 4.3994
_cell_length_c 11.7466
_cell_angle_alpha 100.79
_cell_angle_beta 100.79
_cell_angle_gamma 90.00
_symmetry_space_group_name_H-M 'P 1'
_symmetry_Int_Tables_number 1
_symmetry_space_group_name_Hall 'P 1'
loop_
_atom_site_label
_atom_site_type_symbol
_atom_site_fract_x
_atom_site_fract_y
_atom_site_fract_z
H1 H 0.5781 0.5781 0.1561
H2 H 0.4219 0.4219 0.8439
Th1 Th 0.6916 0.6915 0.3831
Th2 Th 0.3084 0.3085 0.6169
Sb1 Sb 0.0000 0.0000 0.0000
Sb2 Sb 0.1660 0.1660 0.3319
Sb3 Sb 0.8340 0.8340 0.6681
Pd1 Pd 0.5000 0.5000 0.0000
Pd2 Pd 0.9141 0.4141 0.8283
Pd3 Pd 0.4141 0.9141 0.8283
Pd4 Pd 0.5859 0.0859 0.1717
Pd5 Pd 0.0859 0.5859 0.1717

[8]
# Tl2SbHPd, relaxed, DFT PBE
# size of the total moment: 0.000 μB per atom
# final energy: -3.425 eV per atom
# ρ: 9.5 Mg/m³
# crystal system: tetragonal
data_Tl2SbHPd
_cell_length_a 5.6985
_cell_length_b 5.6985
_cell_length_c 3.4392
_cell_angle_alpha 90.00
_cell_angle_beta 90.00
_cell_angle_gamma 90.00
_symmetry_space_group_name_H-M 'P 1'
_symmetry_Int_Tables_number 1
_symmetry_space_group_name_Hall 'P 1'
loop_
_atom_site_label
_atom_site_type_symbol
_atom_site_fract_x
_atom_site_fract_y
_atom_site_fract_z
Tl1 Tl 0.5000 0.0000 0.0000
Tl2 Tl 0.0000 0.5000 0.0000
Pd1 Pd 0.0000 0.0000 0.0000
H1 H 0.0000 0.0000 0.5000
Sb1 Sb 0.5000 0.5000 0.5000